! PBE CePu2Np3N6, optimized geometry; values from VASP
&SYSTEM
  ibrav = 0, nat = 12, ntyp = 4
/
ATOMIC_SPECIES
Np 237.00 Np.upf
Pu 244.00 Pu.upf
N 14.01 N.upf
Ce 140.12 Ce.upf
ATOMIC_POSITIONS angstrom
Np 0.9981 1.7283 2.8507
Np -1.9988 3.4591 2.8507
Np 3.9951 -0.0026 2.8507
Pu -0.0018 3.4585 0.0000
Pu 2.9965 1.7268 0.0000
N 0.0170 0.0294 4.1688
N 2.0285 0.0014 1.5378
N -0.0323 3.4551 4.1636
N 1.9793 3.4271 1.5326
N 3.0088 1.6988 4.1636
N -1.0126 1.7577 1.5378
Ce 0.0000 0.0000 0.0000
CELL_PARAMETERS angstrom
5.9874 -0.0006 0.0000
-2.9927 5.1858 0.0000
-0.9984 -1.7288 5.7014
! Symmetry: C2/m

! PBE Rb3Ce2NpN6, optimized geometry; values from VASP
&SYSTEM
  ibrav = 0, nat = 12, ntyp = 4
/
ATOMIC_SPECIES
N 14.01 N.upf
Np 237.00 Np.upf
Rb 85.47 Rb.upf
Ce 140.12 Ce.upf
ATOMIC_POSITIONS angstrom
N 1.8855 0.0010 1.0324
N 0.1891 3.5912 5.6645
N 3.0161 1.9586 5.6645
N -0.9414 1.6337 1.0324
N -0.0931 -0.1613 5.6595
N 2.1678 3.7536 1.0374
Np 0.0000 0.0000 0.0000
Rb 4.1448 0.0014 3.3484
Rb 1.0373 1.7961 3.3484
Rb -2.0702 3.5908 3.3484
Ce 3.1107 1.7970 0.0004
Ce 0.0019 3.5925 0.0004
CELL_PARAMETERS angstrom
6.2211 0.0007 0.0004
-3.1085 5.3888 0.0004
-1.0380 -1.7972 6.6961
! Symmetry: C2/m

! PBE Rb2CeNpN4, optimized geometry; values from VASP
&SYSTEM
  ibrav = 0, nat = 8, ntyp = 4
/
ATOMIC_SPECIES
Ce 140.12 Ce.upf
N 14.01 N.upf
Rb 85.47 Rb.upf
Np 237.00 Np.upf
ATOMIC_POSITIONS angstrom
Ce 1.8046 3.0740 0.0520
N 0.0000 4.2866 1.0813
N 0.0000 -0.2916 5.6762
N 1.8046 3.0723 5.7133
N 1.8046 0.9227 1.0442
Rb 1.8046 -1.0765 3.3267
Rb 0.0000 1.9975 3.3787
Np 0.0000 0.0000 0.0000
CELL_PARAMETERS angstrom
3.6093 0.0000 0.0000
0.0000 6.1479 0.1041
0.0000 -2.1529 6.6534
! Symmetry: P2/m

! PBE Ce2NpReN5, optimized geometry; values from VASP
&SYSTEM
  ibrav = 0, nat = 18, ntyp = 4
/
ATOMIC_SPECIES
N 14.01 N.upf
Ce 140.12 Ce.upf
Np 237.00 Np.upf
Re 186.21 Re.upf
ATOMIC_POSITIONS angstrom
N 3.2922 3.2922 0.0000
N 0.0000 0.0000 0.0000
N -1.0209 -2.2713 4.1000
N 4.3130 5.5634 1.6739
N 2.2713 -1.0209 4.1000
N 1.0209 2.2713 4.1000
N 2.2713 1.0209 1.6739
N 5.5634 2.2713 1.6739
N 1.0209 4.3130 1.6739
N -2.2713 1.0209 4.1000
Ce 4.4226 1.1305 0.0000
Ce 1.1305 2.1617 0.0000
Ce 5.4539 4.4226 0.0000
Ce 2.1617 5.4539 0.0000
Np 0.0000 0.0000 2.8869
Np 3.2922 3.2922 2.8869
Re 3.2922 0.0000 2.8869
Re 0.0000 3.2922 2.8869
CELL_PARAMETERS angstrom
6.5843 0.0000 0.0000
0.0000 6.5843 0.0000
-3.2922 -3.2922 5.7739
! Symmetry: I4/mcm

! PBE Ce2NpRhN5, optimized geometry; values from VASP
&SYSTEM
  ibrav = 0, nat = 18, ntyp = 4
/
ATOMIC_SPECIES
N 14.01 N.upf
Rh 102.91 Rh.upf
Np 237.00 Np.upf
Ce 140.12 Ce.upf
ATOMIC_POSITIONS angstrom
N 6.9604 -1.8648 3.1004
N 2.7656 -2.5487 -0.5976
N 1.4702 -2.1561 2.1259
N 9.7968 -2.6527 2.3368
N 7.0143 -3.6246 5.8204
N 10.0747 -2.6897 5.1742
N 7.6654 -3.8696 0.9960
N 5.6668 -1.5469 0.4407
N 4.0962 -2.8640 2.9816
N 0.9746 -0.2654 0.1257
Rh 5.9658 -3.3112 7.7106
Rh 7.6657 -2.1042 -0.2409
Np 2.1269 -0.6050 -1.6035
Np 5.7978 -3.3464 1.8155
Ce 8.3172 -4.0114 3.6622
Ce 5.4514 -1.4269 4.8644
Ce 4.7382 -3.1055 -1.7718
Ce 3.3632 -0.9034 1.3261
CELL_PARAMETERS angstrom
-0.9086 -3.3154 0.0457
5.4016 0.2443 -4.1980
6.5014 -1.6678 8.2682
! Symmetry: Cmc2_1

! PBE CeNp2RhN4, optimized geometry; values from VASP
&SYSTEM
  ibrav = 0, nat = 16, ntyp = 4
/
ATOMIC_SPECIES
N 14.01 N.upf
Ce 140.12 Ce.upf
Np 237.00 Np.upf
Rh 102.91 Rh.upf
ATOMIC_POSITIONS angstrom
N 0.0000 0.0000 5.8063
N 1.7305 0.4000 2.9032
N 0.0000 0.0000 0.0000
N 0.0000 3.0604 4.6140
N 0.0000 5.2671 8.7095
N 1.7305 2.6068 6.9987
N 1.7305 2.6068 10.4203
N 0.0000 3.0604 1.1923
Ce 1.7305 4.4366 2.9032
Ce 0.0000 1.2306 8.7095
Np 1.7305 1.4561 0.6647
Np 0.0000 4.2110 10.9480
Np 0.0000 4.2110 6.4710
Np 1.7305 1.4561 5.1416
Rh 0.0000 1.8054 2.9032
Rh 1.7305 3.8617 8.7095
CELL_PARAMETERS angstrom
3.4610 0.0000 0.0000
-1.7305 5.6672 0.0000
0.0000 0.0000 11.6127
! Symmetry: Cmcm

! PBE CeNpSbN, optimized geometry; values from VASP
&SYSTEM
  ibrav = 0, nat = 8, ntyp = 4
/
ATOMIC_SPECIES
N 14.01 N.upf
Sb 121.76 Sb.upf
Np 237.00 Np.upf
Ce 140.12 Ce.upf
ATOMIC_POSITIONS angstrom
N 0.0000 2.2966 3.5544
N 2.2966 0.0000 5.3411
Sb 2.2966 0.0000 1.7701
Sb 0.0000 2.2966 7.1255
Np 0.0000 2.2966 1.4499
Np 2.2966 0.0000 7.4456
Ce 2.2966 2.2966 4.4478
Ce 0.0000 0.0000 4.4478
CELL_PARAMETERS angstrom
4.5932 0.0000 0.0000
0.0000 4.5932 0.0000
0.0000 0.0000 8.8955
! Symmetry: P4/nmm

! PBE Ce2NpSb2N2, optimized geometry; values from VASP
&SYSTEM
  ibrav = 0, nat = 7, ntyp = 4
/
ATOMIC_SPECIES
Ce 140.12 Ce.upf
N 14.01 N.upf
Np 237.00 Np.upf
Sb 121.76 Sb.upf
ATOMIC_POSITIONS angstrom
Ce 4.2267 -0.8179 8.5187
Ce 1.4437 -1.0660 3.3035
N 5.7123 -2.2873 7.2728
N -0.0419 0.4033 4.5494
Np 0.0000 0.0000 0.0000
Sb 2.0261 -2.2919 6.5232
Sb 3.6443 0.4080 5.2989
CELL_PARAMETERS angstrom
-0.7118 2.0086 3.4884
0.2629 -4.1545 4.8408
6.1193 0.2620 3.4929
! Symmetry: C2/m

! PBE CeNpSeN2, optimized geometry; values from VASP
&SYSTEM
  ibrav = 0, nat = 5, ntyp = 4
/
ATOMIC_SPECIES
Se 78.96 Se.upf
Np 237.00 Np.upf
Ce 140.12 Ce.upf
N 14.01 N.upf
ATOMIC_POSITIONS angstrom
Se -1.1713 -1.5109 -1.9370
Np -0.3695 -1.4101 1.3003
Ce -1.9774 -4.5875 0.8999
N -2.3549 -2.3471 1.3074
N 0.0492 -3.4932 0.7477
CELL_PARAMETERS angstrom
-3.5711 -0.3484 -1.3925
1.2371 -2.6405 -2.5120
0.0056 -2.9383 6.0397
! Symmetry: I4mm

! PBE Ce2NpSe2N2, optimized geometry; values from VASP
&SYSTEM
  ibrav = 0, nat = 7, ntyp = 4
/
ATOMIC_SPECIES
N 14.01 N.upf
Np 237.00 Np.upf
Ce 140.12 Ce.upf
Se 78.96 Se.upf
ATOMIC_POSITIONS angstrom
N 3.9418 2.0478 0.4588
N 3.9418 6.3756 5.6530
Np 0.0000 0.0000 0.0000
Ce 1.9709 2.7867 1.5662
Ce 5.9128 5.6367 4.5455
Se 3.9418 2.7314 4.0295
Se 3.9418 5.6921 2.0823
CELL_PARAMETERS angstrom
3.9418 0.0000 0.0000
1.9709 6.1128 0.0030
1.9709 2.3107 6.1088
! Symmetry: C2/m

! PBE Ce3Sm2NpN6, optimized geometry; values from VASP
&SYSTEM
  ibrav = 0, nat = 12, ntyp = 4
/
ATOMIC_SPECIES
N 14.01 N.upf
Np 237.00 Np.upf
Ce 140.12 Ce.upf
Sm 150.36 Sm.upf
ATOMIC_POSITIONS angstrom
N -0.9550 1.6564 1.4031
N 2.1131 3.6588 1.4245
N 3.0046 1.8924 4.3968
N 1.9120 0.0006 1.4031
N 0.1376 3.5482 4.3968
N -0.0635 -0.1100 4.3754
Np 0.0000 0.0000 0.0000
Ce 4.0894 0.0044 2.8999
Ce -2.0399 3.5443 2.8999
Ce 1.0248 1.7744 2.8999
Sm 3.0713 1.7776 -0.0006
Sm 0.0048 3.5486 -0.0006
CELL_PARAMETERS angstrom
6.1445 0.0027 -0.0006
-3.0685 5.3235 -0.0006
-1.0265 -1.7774 5.8012
! Symmetry: C2/m

! PBE Ce2Sm3NpN6, optimized geometry; values from VASP
&SYSTEM
  ibrav = 0, nat = 12, ntyp = 4
/
ATOMIC_SPECIES
Ce 140.12 Ce.upf
Sm 150.36 Sm.upf
N 14.01 N.upf
Np 237.00 Np.upf
ATOMIC_POSITIONS angstrom
Ce 3.0729 1.7784 -0.0008
Ce 0.0047 3.5504 -0.0008
Sm 4.0934 0.0030 2.9001
Sm 1.0252 1.7750 2.9001
Sm -2.0431 3.5470 2.9001
N -0.0445 -0.0770 4.4373
N 3.0303 1.8533 4.4464
N -0.9800 1.6968 1.3538
N 2.0948 3.6271 1.3629
N 0.0909 3.5509 4.4464
N 1.9594 -0.0009 1.3538
Np 0.0000 0.0000 0.0000
CELL_PARAMETERS angstrom
6.1505 0.0009 -0.0008
-3.0730 5.3279 -0.0008
-1.0273 -1.7787 5.8018
! Symmetry: C2/m

no.,E_form (uncorrected) (eV per atom),magnetization (μB/cell),electronic total energy (eV/atom)
1,-1.192,2.217,-11.473
2,-0.810,0.000,-7.282
3,-0.802,1.107,-7.566
4,-0.921,7.984,-9.686
5,-0.939,4.076,-9.138
6,-0.955,9.998,-10.013
7,-0.898,9.471,-8.728
8,-1.134,3.062,-8.235
9,-1.450,3.013,-9.252
10,-1.582,5.006,-8.501
11,-1.433,3.778,-8.944
12,-1.434,3.572,-8.844